# Np3Tl2PbO12

A relaxed structure of Np3Tl2PbO12 (PBE, Alexandria via LeMat-Bulk).

formation energy (no corrections) = -2.158 eV per atom
raw total energy = -0.5945 Ry per atom
density = 7.8 Mg/m³
SG = R-3m (166)

Unit cell a=7.3539 b=7.3539 c=7.3539 alpha=67.14 beta=67.14 gamma=67.14
Positions (direct):
Np (0.0000, 0.5000, 0.5000)
Np (0.5000, 0.0000, 0.5000)
Np (0.5000, 0.5000, 0.0000)
Tl (0.1173, 0.1173, 0.1173)
Tl (0.8827, 0.8827, 0.8827)
Pb (0.5000, 0.5000, 0.5000)
O (0.0747, 0.6277, 0.6277)
O (0.2277, 0.2277, 0.5949)
O (0.2277, 0.5949, 0.2277)
O (0.3723, 0.3723, 0.9253)
O (0.3723, 0.9253, 0.3723)
O (0.4051, 0.7723, 0.7723)
O (0.5949, 0.2277, 0.2277)
O (0.6277, 0.0747, 0.6277)
O (0.6277, 0.6277, 0.0747)
O (0.7723, 0.4051, 0.7723)
O (0.7723, 0.7723, 0.4051)
O (0.9253, 0.3723, 0.3723)


# Nd4Ho8Mg

A relaxed structure of Nd4Ho8Mg (PBE, Alexandria via LeMat-Bulk).

calculated formation energy = 12.8 kcal/mol of atoms
raw total energy = -0.2831 Ry per atom
density = 6.8 Mg/m³
SG = Pm-3m (221)

Unit cell a=7.7553 b=7.7553 c=7.7553 alpha=90.00 beta=90.00 gamma=90.00
Positions (direct):
Nd (0.0000, 0.0000, 0.0000)
Nd (0.0000, 0.5000, 0.5000)
Nd (0.5000, 0.0000, 0.5000)
Nd (0.5000, 0.5000, 0.0000)
Ho (0.2428, 0.2428, 0.2428)
Ho (0.2428, 0.2428, 0.7572)
Ho (0.2428, 0.7572, 0.2428)
Ho (0.2428, 0.7572, 0.7572)
Ho (0.7572, 0.2428, 0.2428)
Ho (0.7572, 0.2428, 0.7572)
Ho (0.7572, 0.7572, 0.2428)
Ho (0.7572, 0.7572, 0.7572)
Mg (0.5000, 0.5000, 0.5000)


# BaVIn3

A relaxed structure of BaVIn3 (PBE, Alexandria via LeMat-Bulk).

calculated formation energy = 33.5 kcal/mol of atoms
raw total energy = -0.1764 Ry per atom
density = 3.7 Mg/m³
SG = Pm-3m (221)

Unit cell a=6.2175 b=6.2175 c=6.2175 alpha=90.00 beta=90.00 gamma=90.00
Positions (direct):
Ba (0.0000, 0.0000, 0.0000)
V (0.5000, 0.5000, 0.5000)
In (0.0000, 0.0000, 0.5000)
In (0.0000, 0.5000, 0.0000)
In (0.5000, 0.0000, 0.0000)


# Cu2AsCl

A relaxed structure of Cu2AsCl (PBE, Alexandria via LeMat-Bulk).

formation energy (no corrections) = 0.494 eV per atom
raw total energy = -0.2336 Ry per atom
density = 6.1 Mg/m³
SG = I4/mmm (139)

Unit cell a=4.6826 b=4.6826 c=4.6826 alpha=125.93 beta=125.93 gamma=80.01
Positions (direct):
Cu (0.2500, 0.7500, 0.5000)
Cu (0.7500, 0.2500, 0.5000)
As (0.0000, 0.0000, 0.0000)
Cl (0.5000, 0.5000, 0.0000)


# Pr12NdEr6

A relaxed structure of Pr12NdEr6 (PBE, Alexandria via LeMat-Bulk).

calculated formation energy = 5.4 kcal/mol of atoms
raw total energy = -0.3291 Ry per atom
density = 6.9 Mg/m³
SG = R-3 (148)

Unit cell a=9.3196 b=9.3196 c=9.3196 alpha=106.67 beta=106.67 gamma=106.67
Positions (direct):
Pr (0.1368, 0.2797, 0.8289)
Pr (0.1711, 0.8632, 0.7203)
Pr (0.1949, 0.4800, 0.5768)
Pr (0.2797, 0.8289, 0.1368)
Pr (0.4232, 0.8051, 0.5200)
Pr (0.4800, 0.5768, 0.1949)
Pr (0.5200, 0.4232, 0.8051)
Pr (0.5768, 0.1949, 0.4800)
Pr (0.7203, 0.1711, 0.8632)
Pr (0.8051, 0.5200, 0.4232)
Pr (0.8289, 0.1368, 0.2797)
Pr (0.8632, 0.7203, 0.1711)
Nd (0.0000, 0.0000, 0.0000)
Er (0.0732, 0.4604, 0.1889)
Er (0.1889, 0.0732, 0.4604)
Er (0.4604, 0.1889, 0.0732)
Er (0.5396, 0.8111, 0.9268)
Er (0.8111, 0.9268, 0.5396)
Er (0.9268, 0.5396, 0.8111)


# LiPrNi10

A relaxed structure of LiPrNi10 (PBE, Alexandria via LeMat-Bulk).

calculated formation energy = -1.5 kcal/mol of atoms
raw total energy = -0.3998 Ry per atom
density = 7.6 Mg/m³
SG = Pmmm (47)

Unit cell a=3.9839 b=4.8260 c=8.4037 alpha=90.00 beta=90.00 gamma=90.00
Positions (direct):
Li (0.0000, 0.0000, 0.0000)
Pr (0.0000, 0.5000, 0.5000)
Ni (0.0000, 0.0000, 0.3121)
Ni (0.0000, 0.0000, 0.6879)
Ni (0.0000, 0.5000, 0.1540)
Ni (0.0000, 0.5000, 0.8460)
Ni (0.5000, 0.0000, 0.5000)
Ni (0.5000, 0.2487, 0.2441)
Ni (0.5000, 0.2487, 0.7559)
Ni (0.5000, 0.5000, 0.0000)
Ni (0.5000, 0.7513, 0.2441)
Ni (0.5000, 0.7513, 0.7559)


Q: Which value of raw total energy does entry 4 give?
A: -0.2336 Ry per atom